Record 1
{"formula": "Zr6AlPb", "functional": "GGA-PBE", "state": "relaxed", "delta_e_f_ev_per_atom": -0.210, "sg": "No. 187", "lattice_angstrom": [[5.187, 0.000, 0.000], [0.000, 5.536, -2.959], [0.000, -0.202, 6.274]], "species": ["Zr", "Zr", "Zr", "Zr", "Zr", "Zr", "Pb", "Al"], "frac_coords": [[0.000, 0.583, 0.417], [0.500, 0.919, 0.588], [0.500, 0.412, 0.081], [0.500, 0.919, 0.081], [0.000, 0.084, 0.417], [0.000, 0.583, 0.916], [0.500, 0.417, 0.583], [0.000, 0.083, 0.917]]}



Record 2
{"formula": "ZrAlPb2", "functional": "GGA-PBE", "state": "relaxed", "delta_e_f_ev_per_atom": 0.037, "sg": "No. 44", "lattice_angstrom": [[6.303, -0.024, 0.009], [3.179, 5.443, -0.009], [-4.070, -3.884, 2.843]], "species": ["Pb", "Pb", "Al", "Zr"], "frac_coords": [[0.021, 0.021, 0.000], [0.743, 0.243, 0.500], [0.261, 0.761, 0.500], [0.475, 0.475, 0.000]]}



Record 3
{"formula": "ZrAl4Pb", "functional": "GGA-PBE", "state": "relaxed", "delta_e_f_ev_per_atom": -0.131, "sg": "No. 216", "lattice_angstrom": [[0.000, 3.859, 3.859], [3.859, 0.000, 3.859], [3.859, 3.859, 0.000]], "species": ["Al", "Al", "Al", "Al", "Pb", "Zr"], "frac_coords": [[0.374, 0.374, 0.878], [0.878, 0.374, 0.374], [0.374, 0.878, 0.374], [0.374, 0.374, 0.374], [0.750, 0.750, 0.750], [0.000, 0.000, 0.000]]}



Record 4
{"formula": "ZrAlPb2", "functional": "GGA-PBE", "state": "relaxed", "delta_e_f_ev_per_atom": 0.062, "sg": "No. 160", "lattice_angstrom": [[11.439, 0.071, 0.042], [10.956, 3.288, 0.042], [10.956, 1.643, 2.848]], "species": ["Pb", "Pb", "Al", "Zr"], "frac_coords": [[0.010, 0.010, 0.010], [0.240, 0.240, 0.240], [0.758, 0.758, 0.758], [0.492, 0.492, 0.492]]}



Record 5
{"formula": "ZrAlPb2", "functional": "GGA-PBE", "state": "relaxed", "delta_e_f_ev_per_atom": 0.106, "sg": "No. 47", "lattice_angstrom": [[3.346, 0.000, 0.000], [0.000, 5.509, 0.000], [0.000, 0.000, 5.341]], "species": ["Zr", "Pb", "Pb", "Al"], "frac_coords": [[0.500, 0.000, 0.500], [0.500, 0.500, 0.000], [0.000, 0.000, 0.000], [0.000, 0.500, 0.500]]}



Record 6
{"formula": "ZrAlPb2", "functional": "GGA-PBE", "state": "relaxed", "delta_e_f_ev_per_atom": 0.142, "sg": "No. 123", "lattice_angstrom": [[-1.732, -1.192, 2.503], [2.758, -1.037, 1.415], [0.793, 8.167, 4.439]], "species": ["Al", "Zr", "Pb", "Pb"], "frac_coords": [[0.500, 0.500, 0.750], [0.500, 0.500, 0.250], [0.000, 0.000, 0.498], [0.000, 0.000, 0.002]]}



Record 7
{"formula": "ZrAlPb2", "functional": "GGA-PBE", "state": "relaxed", "delta_e_f_ev_per_atom": 0.138, "sg": "No. 65", "lattice_angstrom": [[-2.573, 0.497, -1.978], [-0.239, -3.248, 0.417], [-5.476, 1.363, 7.468]], "species": ["Pb", "Pb", "Zr", "Al"], "frac_coords": [[0.000, 0.000, 0.498], [0.000, 0.000, 0.002], [0.500, 0.500, 0.250], [0.500, 0.500, 0.750]]}



Record 8
{"formula": "ZrAlPb2", "functional": "GGA-PBE", "state": "relaxed", "delta_e_f_ev_per_atom": 0.335, "sg": "No. 216", "lattice_angstrom": [[5.251, 0.000, 0.000], [2.625, 4.547, 0.000], [2.625, 1.516, 4.287]], "species": ["Pb", "Pb", "Al", "Zr"], "frac_coords": [[0.000, 0.000, 0.000], [0.750, 0.750, 0.750], [0.500, 0.500, 0.500], [0.250, 0.250, 0.250]]}



Record 9
{"formula": "ZrAlPb2", "functional": "GGA-PBE", "state": "relaxed", "delta_e_f_ev_per_atom": 0.104, "sg": "No. 71", "lattice_angstrom": [[5.989, -0.021, -0.017], [2.545, 5.421, 0.017], [-3.600, -3.754, 2.969]], "species": ["Pb", "Pb", "Zr", "Al"], "frac_coords": [[0.492, 0.492, 0.000], [0.008, 0.008, 0.000], [0.750, 0.250, 0.500], [0.250, 0.750, 0.500]]}



Record 10
{"formula": "ZrAlPb2", "functional": "GGA-PBE", "state": "relaxed", "delta_e_f_ev_per_atom": 0.070, "sg": "No. 139", "lattice_angstrom": [[5.774, 0.008, 0.000], [2.312, 5.291, 0.000], [-4.043, -2.649, 3.158]], "species": ["Al", "Zr", "Pb", "Pb"], "frac_coords": [[0.750, 0.250, 0.500], [0.250, 0.750, 0.500], [0.000, 0.000, 0.000], [0.500, 0.500, 0.000]]}



Record 11
{"formula": "ZrAlPb2", "functional": "GGA-PBE", "state": "relaxed", "delta_e_f_ev_per_atom": 0.025, "sg": "No. 99", "lattice_angstrom": [[-1.139, -2.256, 3.044], [-1.549, -2.623, -2.524], [5.440, -3.018, -0.201]], "species": ["Al", "Zr", "Pb", "Pb"], "frac_coords": [[0.500, 0.500, 0.727], [0.000, 0.000, 0.512], [0.500, 0.500, 0.272], [0.000, 0.000, 0.989]]}



Record 12
{"formula": "ZrAlPb2", "functional": "GGA-PBE", "state": "relaxed", "delta_e_f_ev_per_atom": 0.050, "sg": "No. 119", "lattice_angstrom": [[5.990, 0.021, 0.000], [2.873, 5.257, 0.000], [-4.432, -2.639, 3.047]], "species": ["Al", "Pb", "Pb", "Zr"], "frac_coords": [[0.750, 0.250, 0.500], [0.000, 0.000, 0.000], [0.250, 0.750, 0.500], [0.500, 0.500, 0.000]]}



Record 13
{"formula": "ZrAlPb2", "functional": "GGA-PBE", "state": "relaxed", "delta_e_f_ev_per_atom": 0.079, "sg": "No. 12", "lattice_angstrom": [[-3.742, -3.697, -2.330], [-0.858, -5.205, -2.295], [-1.358, -2.486, 4.713]], "species": ["Al", "Pb", "Pb", "Zr"], "frac_coords": [[0.250, 0.250, 0.250], [0.006, 0.006, 0.996], [0.494, 0.494, 0.504], [0.750, 0.750, 0.750]]}



Record 14
{"formula": "ZrAlPb2", "functional": "GGA-PBE", "state": "relaxed", "delta_e_f_ev_per_atom": 0.207, "sg": "No. 166", "lattice_angstrom": [[11.461, 0.078, 0.046], [10.978, 3.292, 0.046], [10.978, 1.649, 2.850]], "species": ["Zr", "Al", "Pb", "Pb"], "frac_coords": [[0.250, 0.250, 0.250], [0.750, 0.750, 0.750], [0.503, 0.503, 0.503], [0.997, 0.997, 0.997]]}



Record 15
{"formula": "ZrAlPb2", "functional": "GGA-PBE", "state": "relaxed", "delta_e_f_ev_per_atom": -0.031, "sg": "No. 99", "lattice_angstrom": [[3.260, 0.000, 0.000], [0.000, 3.260, 0.000], [0.000, 0.000, 9.477]], "species": ["Al", "Zr", "Pb", "Pb"], "frac_coords": [[0.500, 0.500, 0.726], [0.000, 0.000, 0.534], [0.500, 0.500, 0.279], [0.000, 0.000, 0.961]]}



Record 16
{"formula": "Zr5Al2Pb", "functional": "GGA-PBE", "state": "relaxed", "delta_e_f_ev_per_atom": -0.327, "sg": "No. 140", "lattice_angstrom": [[6.701, 0.000, -3.163], [-1.493, 6.533, -3.163], [-0.222, -0.278, 8.209]], "species": ["Al", "Al", "Al", "Al", "Zr", "Zr", "Zr", "Zr", "Zr", "Zr", "Zr", "Zr", "Zr", "Zr", "Pb", "Pb"], "frac_coords": [[0.135, 0.365, 0.000], [0.865, 0.635, 0.000], [0.635, 0.135, 0.000], [0.365, 0.865, 0.000], [0.000, 0.000, 0.000], [0.692, 0.192, 0.698], [0.007, 0.507, 0.698], [0.192, 0.007, 0.698], [0.507, 0.692, 0.698], [0.808, 0.993, 0.302], [0.308, 0.808, 0.302], [0.993, 0.493, 0.302], [0.500, 0.500, 0.000], [0.493, 0.308, 0.302], [0.750, 0.750, 0.500], [0.250, 0.250, 0.500]]}



Record 17
{"formula": "ZrAlPb2", "functional": "GGA-PBE", "state": "relaxed", "delta_e_f_ev_per_atom": 0.038, "sg": "No. 123", "lattice_angstrom": [[-3.227, -1.144, 1.924], [2.079, -0.283, 3.319], [-1.313, 5.939, 1.329]], "species": ["Pb", "Pb", "Al", "Zr"], "frac_coords": [[0.000, 0.000, 0.501], [0.000, 0.000, 0.999], [0.500, 0.500, 0.750], [0.500, 0.500, 0.250]]}



Record 18
{"formula": "ZrAlPb2", "functional": "GGA-PBE", "state": "relaxed", "delta_e_f_ev_per_atom": 0.087, "sg": "No. 65", "lattice_angstrom": [[-0.544, -5.191, 1.727], [4.783, 1.846, 1.985], [-1.561, 1.080, 2.756]], "species": ["Pb", "Pb", "Al", "Zr"], "frac_coords": [[0.000, 0.000, 0.000], [0.500, 0.500, 0.000], [0.000, 0.500, 0.500], [0.500, 0.000, 0.500]]}



Record 19
{"formula": "ZrAlPb2", "functional": "GGA-PBE", "state": "relaxed", "delta_e_f_ev_per_atom": 0.002, "sg": "No. 6", "lattice_angstrom": [[-2.404, -1.925, 3.931], [1.390, -3.068, -0.653], [5.179, -0.278, 3.031]], "species": ["Al", "Pb", "Pb", "Zr"], "frac_coords": [[0.500, 0.553, 0.768], [0.500, 0.283, 0.313], [0.000, 0.966, 0.939], [0.000, 0.698, 0.480]]}



Record 20
{"formula": "ZrAlPb2", "functional": "GGA-PBE", "state": "relaxed", "delta_e_f_ev_per_atom": 0.282, "sg": "No. 122", "lattice_angstrom": [[-4.902, -2.748, -5.910], [-0.746, -7.110, 3.924], [-5.256, -3.839, 0.518]], "species": ["Pb", "Pb", "Pb", "Pb", "Al", "Al", "Zr", "Zr"], "frac_coords": [[0.605, 0.125, 0.250], [0.875, 0.855, 0.750], [0.145, 0.625, 0.250], [0.375, 0.395, 0.750], [0.250, 0.750, 0.500], [0.500, 0.500, 0.000], [0.000, 0.000, 0.000], [0.750, 0.250, 0.500]]}



| no. | spin magnetization (μB/cell) |
| --- | --- |
| 1 | 0.00 |
| 2 | 0.00 |
| 3 | 0.00 |
| 4 | 0.00 |
| 5 | 0.00 |
| 6 | 0.00 |
| 7 | 0.00 |
| 8 | 0.92 |
| 9 | 0.00 |
| 10 | 0.00 |
| 11 | 0.00 |
| 12 | 0.00 |
| 13 | 0.00 |
| 14 | 0.00 |
| 15 | 0.00 |
| 16 | 0.00 |
| 17 | 0.00 |
| 18 | 0.00 |
| 19 | 0.00 |
| 20 | 0.00 |